First-principles (GGA-PBE) data for crystalline La5Si3 at its relaxed geometry, as listed in Alexandria via LeMat-Bulk.

a = 8.954 Å, b = 8.954 Å, c = 8.954 Å
α = 126.88°, β = 126.88°, γ = 78.45°
Atoms (fractional coordinates):
La: 0.532 0.032 0.858
La: 0.174 0.674 0.142
La: 0.032 0.174 0.500
La: 0.000 0.000 0.000
La: 0.500 0.500 0.000
La: 0.826 0.326 0.858
La: 0.326 0.468 0.500
La: 0.468 0.968 0.142
La: 0.674 0.532 0.500
La: 0.968 0.826 0.500
Si: 0.613 0.887 0.500
Si: 0.887 0.387 0.274
Si: 0.113 0.613 0.726
Si: 0.750 0.750 0.000
Si: 0.387 0.113 0.500
Si: 0.250 0.250 0.000

D(E_F): 7.66 states/eV/f.u.
Energy relative to the elements, uncorrected: -4.87 eV per formula unit
Crystal system: tetragonal